# HfCrSi PBE-GGA optimized geometry
data_HfCrSi
_chemical_formula_sum 'Hf4 Cr4 Si4'
_cell_length_a 9.872
_cell_length_b 3.353
_cell_length_c 6.771
_cell_angle_alpha 90.00
_cell_angle_beta 124.82
_cell_angle_gamma 90.00
_symmetry_space_group_name_H-M 'C 1 2/m 1'
_symmetry_Int_Tables_number 12
_symmetry_space_group_name_Hall '-C 2y'
loop_
_atom_site_label
_atom_site_fract_x
_atom_site_fract_y
_atom_site_fract_z
_atom_site_occupancy
Hf1 0.075 0.000 0.304 1
Cr1 0.178 0.500 0.066 1
Si1 0.140 0.500 0.677 1
# Raw total energy = -8.82 eV/atom
# ΔE_f (raw) = -11.30 kcal/mol of atoms
# Size of the total moment = 0.00 μB/cell